# 1
VASP calculation (PBE) on Ac3CdAg8 after structural relaxation.

Cell lengths 5.8738, 5.8738, 28.9133 Å; angles 90.00, 90.00, 120.00 degrees
Space group R3m (No. 160, hexagonal axes)
Unique sites:
Ac: 0.0000 0.0000 0.0000 (multiplicity 3)
Ac: 0.0000 0.0000 0.1273 (multiplicity 3)
Ac: 0.0000 0.0000 0.5130 (multiplicity 3)
Cd: 0.0000 0.0000 0.6353 (multiplicity 3)
Ag: 0.0000 0.0000 0.3168 (multiplicity 3)
Ag: 0.0000 0.0000 0.8187 (multiplicity 3)
Ag: 0.1669 0.3339 0.4002 (multiplicity 9)
Ag: 0.1693 0.3387 0.9021 (multiplicity 9)

calculated formation energy = -2.075 eV/f.u.



# 2
VASP calculation (PBE) on Cu2P4W after structural relaxation.

Cell lengths 5.630, 5.630, 4.645 Å; angles 90.00, 90.00, 90.00 degrees
Space group P-42m (No. 111)
Unique sites:
Cu: 0.000 0.500 0.000 (multiplicity 2)
P: 0.238 0.238 0.228 (multiplicity 4)
W: 0.500 0.500 0.000 (multiplicity 1)

calculated formation energy = 2.019 eV/f.u.



# 3
VASP calculation (PBE) on FeP2SCl after structural relaxation.

Cell lengths 4.513, 4.513, 4.749 Å; angles 90.00, 90.00, 90.00 degrees
Space group P4/mmm (No. 123)
Unique sites:
Fe: 0.000 0.000 0.000 (multiplicity 1)
P: 0.000 0.500 0.500 (multiplicity 2)
S: 0.500 0.500 0.000 (multiplicity 1)
Cl: 0.500 0.500 0.500 (multiplicity 1)

polymorph energy (0 for the lowest one) = 1037 meV per atom



# 4
VASP calculation (PBE) on CaSmP2Pd4 after structural relaxation.

Cell lengths 4.113, 4.113, 9.111 Å; angles 90.00, 90.00, 90.00 degrees
Space group P4/mmm (No. 123)
Unique sites:
Ca: 0.000 0.000 0.000 (multiplicity 1)
Sm: 0.000 0.000 0.500 (multiplicity 1)
P: 0.500 0.500 0.123 (multiplicity 2)
Pd: 0.000 0.500 0.262 (multiplicity 4)

calculated formation energy = -6.030 eV/f.u.



# 5
VASP calculation (PBE) on Sr2PuH12Rh3 after structural relaxation.

Cell lengths 6.7575, 6.7575, 14.5404 Å; angles 90.00, 90.00, 120.00 degrees
Space group R-3m (No. 166, hexagonal axes)
Unique sites:
Sr: 0.0000 0.0000 0.1165 (multiplicity 6)
Pu: 0.0000 0.0000 0.5000 (multiplicity 3)
H: 0.0308 0.5154 0.8846 (multiplicity 18)
H: 0.0752 0.5376 0.3185 (multiplicity 18)
Rh: 0.0000 0.5000 0.0000 (multiplicity 9)

uncorrected energy = -259.34 eV/cell



# 6
VASP calculation (PBE) on Tm3ScAg2 after structural relaxation.

Cell lengths 3.550, 3.550, 11.699 Å; angles 90.00, 90.00, 90.00 degrees
Space group P4/mmm (No. 123)
Unique sites:
Tm: 0.000 0.000 0.000 (multiplicity 1)
Tm: 0.000 0.000 0.311 (multiplicity 2)
Sc: 0.500 0.500 0.500 (multiplicity 1)
Ag: 0.500 0.500 0.156 (multiplicity 2)

calculated formation energy = -1.218 eV/f.u.



# 7
VASP calculation (PBE) on BS3Br after structural relaxation.

Cell lengths 4.892, 4.892, 4.892 Å; angles 90.00, 90.00, 90.00 degrees
Space group Pm-3m (No. 221)
Unique sites:
B: 0.000 0.000 0.000 (multiplicity 1)
S: 0.000 0.500 0.500 (multiplicity 3)
Br: 0.500 0.500 0.500 (multiplicity 1)

polymorph energy (0 for the lowest one) = 1968 meV per atom



# 8
VASP calculation (PBE) on AcTmCuAg after structural relaxation.

Cell lengths 7.450, 7.450, 7.450 Å; angles 90.00, 90.00, 90.00 degrees
Space group F-43m (No. 216)
Unique sites:
Ac: 0.000 0.000 0.000 (multiplicity 4)
Tm: 0.000 0.000 0.500 (multiplicity 4)
Cu: 0.250 0.250 0.750 (multiplicity 4)
Ag: 0.250 0.250 0.250 (multiplicity 4)

calculated formation energy = -0.609 eV/f.u.



Repeat the fifth record exactly.
VASP calculation (PBE) on Sr2PuH12Rh3 after structural relaxation.

Cell lengths 6.7575, 6.7575, 14.5404 Å; angles 90.00, 90.00, 120.00 degrees
Space group R-3m (No. 166, hexagonal axes)
Unique sites:
Sr: 0.0000 0.0000 0.1165 (multiplicity 6)
Pu: 0.0000 0.0000 0.5000 (multiplicity 3)
H: 0.0308 0.5154 0.8846 (multiplicity 18)
H: 0.0752 0.5376 0.3185 (multiplicity 18)
Rh: 0.0000 0.5000 0.0000 (multiplicity 9)

uncorrected energy = -259.34 eV/cell